The following is a DFT calculation (PBE-GGA) of crystalline TbScSn2 at its relaxed geometry.

## Properties
E_form: -630.9 meV/atom
symmetry: Pmc2_1, No. 26
crystal system: orthorhombic
energy above the most stable polymorph in this dataset: 0.020 eV/atom

Lattice parameters (Å, degrees): 4.2278 5.9977 8.2051 90.00 90.00 90.00
Element x y z (fractional)
Tb 0.0000 0.1239 0.0000
Tb 0.0000 0.8761 0.5000
Sc 0.5000 0.3782 0.6325
Sc 0.5000 0.6218 0.1325
Sn 0.0000 0.4107 0.3606
Sn 0.0000 0.5893 0.8606
Sn 0.5000 0.0854 0.2712
Sn 0.5000 0.9146 0.7712



The following is a DFT calculation (PBE-GGA) of crystalline TbScSn2 at its relaxed geometry.

## Properties
E_form: -545.3 meV/atom
symmetry: P4/mmm, No. 123
crystal system: tetragonal
energy above the most stable polymorph in this dataset: 0.105 eV/atom

Lattice parameters (Å, degrees): 3.8826 3.8826 6.6820 90.00 90.00 90.00
Element x y z (fractional)
Tb 0.0000 0.0000 0.0000
Sc 0.0000 0.0000 0.5000
Sn 0.5000 0.5000 0.2726
Sn 0.5000 0.5000 0.7274



For each record above, in turn, the calculated size of the total moment values are 0.000; 0.015 μB/cell.